Compound: Ir3Os
Source: the Alexandria database
Functional: PBE
Structure: relaxed

## Properties
As for the energy: -9.44 eV/atom. The value obtained for the magnetic moment is 0.0000 μB per atom. The calculated formation energy comes out at 12 meV per atom.

Cell lengths 2.7316, 2.7316, 7.7547 Å; angles 90.00, 90.00, 90.00 degrees
Closest atoms and distances in Å follow each position.
Sites, in units of the cell vectors:
Os1 0.5000 0.5000 0.2500  8 Ir 2.71, 4 Os 2.73
Ir1 0.0000 0.0000 0.0040  4 Os 2.71, 8 Ir 2.73-2.76
Ir2 0.0000 0.0000 0.4960  4 Os 2.71, 8 Ir 2.73-2.76
Ir3 0.5000 0.5000 0.7500  12 Ir 2.73-2.76

=====

Compound: Ac2In4Ag3Pd
Source: the Alexandria database
Functional: PBE
Structure: relaxed

## Properties
As for the energy: -3.69 eV/atom. The value obtained for the magnetic moment is 0.0000 μB per atom. The calculated formation energy comes out at -394 meV per atom.

Cell lengths 4.7425, 4.7425, 11.3951 Å; angles 90.00, 90.00, 90.00 degrees
Closest atoms and distances in Å follow each position.
Sites, in units of the cell vectors:
Ag1 0.0000 0.5000 0.1398  5 In 2.73-2.86
Ac1 0.5000 0.0000 0.2633  2 Pd 3.59, 6 Ag 3.59-3.64, 8 In 3.61-3.82
In1 0.0000 0.5000 0.3796  3 Ag 2.73-2.74, 2 Pd 2.74
Ac2 0.0000 0.5000 0.7367  2 Pd 3.59, 6 Ag 3.59-3.64, 8 In 3.61-3.82
Pd1 0.5000 0.5000 0.5000  4 In 2.74
In2 0.5000 0.0000 0.6204  3 Ag 2.73-2.74, 2 Pd 2.74
In3 0.5000 0.5000 0.0000  4 Ag 2.86
Ag2 0.5000 0.0000 0.8602  5 In 2.73-2.86
In4 0.0000 0.0000 0.0000  4 Ag 2.86
Ag3 0.0000 0.0000 0.5000  4 In 2.74

=====

Compound: Ce2ErZn2In2
Source: the Alexandria database
Functional: PBE
Structure: relaxed

## Properties
As for the energy: -3.74 eV/atom. The value obtained for the magnetic moment is 0.2573 μB per atom. The calculated formation energy comes out at -247 meV per atom.

Cell lengths 4.5590, 4.5590, 9.4936 Å; angles 76.11, 76.11, 60.00 degrees
Closest atoms and distances in Å follow each position.
Sites, in units of the cell vectors:
Zn1 0.5966 0.5966 0.2103  3 In 2.63
Ce1 0.1419 0.1419 0.5742  3 Ce 2.96, 3 Zn 3.28
In1 0.2669 0.2669 0.1993  3 Zn 2.63
Ce2 0.8581 0.8581 0.4258  3 Ce 2.96, 3 Zn 3.28
In2 0.7331 0.7331 0.8007  3 Zn 2.63
Er1 0.0000 0.0000 0.0000  6 In 3.20, 6 Zn 3.26
Zn2 0.4034 0.4034 0.7897  3 In 2.63

=====

Compound: Ce3Th2ScSe6
Source: the Alexandria database
Functional: PBE
Structure: relaxed

## Properties
As for the energy: -6.66 eV/atom. The value obtained for the magnetic moment is 0.2141 μB per atom. The uncorrected formation energy comes out at -1.675 eV/atom.

Cell lengths 7.2105, 7.2105, 7.1503 Å; angles 99.71, 99.71, 119.86 degrees
Closest atoms and distances in Å follow each position.
Sites, in units of the cell vectors:
Se1 0.6039 0.9212 0.7605  1 Sc 2.80, 3 Ce 2.93-3.01, 2 Th 2.95
Th1 0.6652 0.3348 0.0000  6 Se 2.95-2.97
Se2 0.0788 0.3961 0.2395  1 Sc 2.80, 3 Ce 2.93-3.01, 2 Th 2.95
Ce1 0.8267 0.1733 0.5000  6 Se 2.93-3.01
Sc1 0.0000 0.0000 0.0000  6 Se 2.80-2.83
Th2 0.3348 0.6652 0.0000  6 Se 2.95-2.97
Se3 0.9212 0.6039 0.7605  1 Sc 2.80, 3 Ce 2.93-3.01, 2 Th 2.95
Ce2 0.1733 0.8267 0.5000  6 Se 2.93-3.01
Se4 0.3961 0.0788 0.2395  1 Sc 2.80, 3 Ce 2.93-3.01, 2 Th 2.95
Se5 0.7665 0.7665 0.2480  1 Sc 2.83, 3 Ce 2.95-3.05, 2 Th 2.97
Se6 0.2335 0.2335 0.7520  1 Sc 2.83, 3 Ce 2.95-3.05, 2 Th 2.97
Ce3 0.5000 0.5000 0.5000  6 Se 2.93-3.05

=====

Compound: K2GaTe4
Source: the Alexandria database
Functional: PBE
Structure: relaxed

## Properties
As for the energy: -2.83 eV/atom. The value obtained for the magnetic moment is 0.0000 μB per atom. The uncorrected formation energy comes out at -0.293 eV/atom.

Cell lengths 5.6418, 5.6418, 9.5684 Å; angles 72.85, 72.85, 90.00 degrees
Closest atoms and distances in Å follow each position.
Sites, in units of the cell vectors:
Te1 0.8485 0.8485 0.3030  1 Ga 2.64
K1 0.3596 0.3596 0.2809  9 Te 3.62-3.99
K2 0.6404 0.6404 0.7191  9 Te 3.62-3.99
Te2 0.5000 0.0000 0.0000  2 Ga 2.82
Ga1 0.0000 0.0000 0.0000  6 Te 2.64-2.82
Te3 0.1515 0.1515 0.6970  1 Ga 2.64
Te4 0.0000 0.5000 0.0000  2 Ga 2.82

=====

Compound: LiHoTmNi
Source: the Alexandria database
Functional: PBE
Structure: relaxed

## Properties
As for the energy: -4.35 eV/atom. The value obtained for the magnetic moment is 0.0001 μB per atom. The calculated formation energy comes out at -166 meV per atom.

Cell lengths 4.8730, 4.8730, 4.8730 Å; angles 60.00, 60.00, 60.00 degrees
Closest atoms and distances in Å follow each position.
Sites, in units of the cell vectors:
Li1 0.0000 0.0000 0.0000  4 Ho 2.98, 4 Tm 2.98
Ho1 0.7500 0.7500 0.7500  4 Li 2.98, 4 Ni 2.98
Tm1 0.2500 0.2500 0.2500  4 Li 2.98, 4 Ni 2.98
Ni1 0.5000 0.5000 0.5000  4 Ho 2.98, 4 Tm 2.98

=====

Compound: CrBMoAs2
Source: the Alexandria database
Functional: PBE
Structure: relaxed

## Properties
As for the energy: -6.57 eV/atom. The value obtained for the magnetic moment is 0.1791 μB per atom. The calculated formation energy comes out at 719 meV per atom.

Cell lengths 4.4053, 3.7374, 4.4053 Å; angles 90.00, 90.00, 90.00 degrees
Closest atoms and distances in Å follow each position.
Sites, in units of the cell vectors:
B1 0.0000 0.0000 0.0000  2 Cr 1.87
Cr1 0.0000 0.5000 0.0000  2 B 1.87
Mo1 0.5000 0.5000 0.5000  8 As 2.89, 4 Cr 3.11
As1 0.0000 0.0000 0.5000  2 B 2.20
As2 0.5000 0.0000 0.0000  2 B 2.20

=====

Compound: Pm4Pr2Ho5
Source: the Alexandria database
Functional: PBE
Structure: relaxed

## Properties
As for the energy: -4.56 eV/atom. The value obtained for the magnetic moment is 0.0000 μB per atom. The calculated formation energy comes out at 122 meV per atom. For the offset from the most stable computed form, the calculation gives 0.0000 eV per atom.

Cell lengths 7.4793, 6.7392, 10.0279 Å; angles 63.92, 68.10, 56.30 degrees
Closest atoms and distances in Å follow each position.
Sites, in units of the cell vectors:
Pm1 0.6819 0.1335 0.5027  1 Pm 3.44, 1 Pr 3.44, 5 Ho 3.56-3.63
Ho1 0.0000 0.5000 0.5000  4 Ho 3.25, 2 Pm 3.56
Pm2 0.3234 0.2272 0.1259  1 Pm 3.44, 6 Ho 3.46-3.51, 3 Pr 3.53-3.76
Ho2 0.7847 0.6453 0.2216  2 Ho 3.25-3.26, 5 Pm 3.46-3.63, 2 Pr 3.47-3.50
Pm3 0.3181 0.8665 0.4973  1 Pm 3.44, 1 Pr 3.44, 5 Ho 3.56-3.63
Ho3 0.6517 0.3547 0.7784  2 Ho 3.25-3.26, 5 Pm 3.46-3.63, 2 Pr 3.47-3.50
Pr1 0.1444 0.8393 0.8719  1 Pr 3.39, 4 Pm 3.44-3.76, 6 Ho 3.47-3.75
Ho4 0.2153 0.3547 0.7784  2 Ho 3.25-3.26, 5 Pm 3.46-3.63, 2 Pr 3.47-3.50
Pr2 0.8556 0.1607 0.1281  1 Pr 3.39, 4 Pm 3.44-3.76, 6 Ho 3.47-3.75
Pm4 0.6766 0.7728 0.8741  1 Pm 3.44, 6 Ho 3.46-3.51, 3 Pr 3.53-3.76
Ho5 0.3483 0.6453 0.2216  2 Ho 3.25-3.26, 5 Pm 3.46-3.63, 2 Pr 3.47-3.50

=====

- What is the magnetic moment in the eighth record?
  0.0000 μB per atom

=====

- Which formula does entry 1 have?
  Ir3Os